# Mn3VP6O24

An optimized crystal structure of Mn3VP6O24 (GGA+U, Alexandria).

Values from the calculation:
The space group is No. 146. The calculation puts the uncorrected energy at -7.16 eV/atom. The value obtained for the size of the total moment is 7.95 μB per cell.

Cell lengths 8.689, 8.689, 8.689 Å; angles 56.86, 56.86, 56.86 degrees
Fractional positions:
Mn 0.000 0.000 0.000
Mn 0.213 0.213 0.213
Mn 0.506 0.506 0.506
V 0.719 0.719 0.719
P 0.112 0.829 0.389
P 0.322 0.609 0.893
P 0.389 0.112 0.829
P 0.609 0.893 0.322
P 0.829 0.389 0.112
P 0.893 0.322 0.609
O 0.026 0.379 0.082
O 0.043 0.351 0.398
O 0.057 0.852 0.235
O 0.082 0.026 0.379
O 0.117 0.750 0.974
O 0.235 0.057 0.852
O 0.320 0.675 0.370
O 0.337 0.637 0.694
O 0.351 0.398 0.043
O 0.370 0.320 0.675
O 0.379 0.082 0.026
O 0.398 0.043 0.351
O 0.484 0.665 0.856
O 0.593 0.959 0.754
O 0.637 0.694 0.337
O 0.665 0.856 0.484
O 0.675 0.370 0.320
O 0.694 0.337 0.637
O 0.750 0.974 0.117
O 0.754 0.593 0.959
O 0.852 0.235 0.057
O 0.856 0.484 0.665
O 0.959 0.754 0.593
O 0.974 0.117 0.750